# 1
Al2CuPt4 PBE relaxed; size of the total moment = 0.00 μB/atom; energy of formation = -0.35 eV/atom; symmetry = No. 139
1.0
-2.3138 2.3138 5.4438
2.3138 -2.3138 5.4438
2.3138 2.3138 -5.4438
Al Cu Pt
2 1 4
Direct
0.1379 0.1379 0.0000
0.8621 0.8621 0.0000
0.5000 0.5000 0.0000
0.0000 0.5000 0.5000
0.2500 0.7500 0.5000
0.5000 0.0000 0.5000
0.7500 0.2500 0.5000

***

# 2
AcSm5Tl4 PBE relaxed; size of the total moment = 0.01 μB/atom; energy of formation = -0.29 eV/atom; symmetry = No. 123
1.0
3.6899 0.0000 0.0000
0.0000 3.6899 0.0000
0.0000 0.0000 22.5319
Ac Sm Tl
1 5 4
Direct
0.0000 0.0000 0.0000
0.5000 0.5000 0.1222
0.5000 0.5000 0.3106
0.5000 0.5000 0.5000
0.5000 0.5000 0.6894
0.5000 0.5000 0.8778
0.0000 0.0000 0.2148
0.0000 0.0000 0.4052
0.0000 0.0000 0.5948
0.0000 0.0000 0.7852